# 1
## Sc2FeTc (PBEsol)

Data for Sc2FeTc after structural relaxation.

Lattice parameters (Å, degrees): 5.757 8.185 2.843 90.00 110.48 90.00
Space group C2/m (No. 12)
Unique sites:
Sc  0.250  0.250  0.000 [4 per cell]
Fe  0.000  0.000  0.500 [2 per cell]
Tc  0.000  0.500  0.500 [2 per cell]

***

# 2
## ScFeTc (PBEsol)

Data for ScFeTc after structural relaxation.

Lattice parameters (Å, degrees): 5.757 5.757 5.757 90.00 90.00 90.00
Space group F-43m (No. 216)
Unique sites:
Sc  0.000  0.000  0.000 [4 per cell]
Fe  0.250  0.250  0.750 [4 per cell]
Tc  0.000  0.000  0.500 [4 per cell]

Summary:
Polymorph energy (0 for the lowest one) (eV/atom): 0.136

***

no.,formation energy (meV per atom)
1,116
2,283